Density functional theory data (GGA-PBE) for a relaxed Li2MnCo crystal.

Computed properties:
The energy above the most stable polymorph in this dataset is 21.77 kJ/mol of atoms. The calculation puts the theoretical density at 4.1 g/cm³. The energy comes out at -4.59 eV/atom. As for the formation energy: 0.433 eV/atom.

Lattice parameters (Å, degrees): 3.177 3.177 5.122 90.00 90.00 90.00
Fractional coordinates of all 4 atoms:
Li 0.000 0.000 0.979
Mn 0.500 0.500 0.250
Co 0.500 0.500 0.750
Li 0.000 0.000 0.521